The following is a PBEsol calculation of a relaxed structure of Y2Al2Pd, from the Alexandria database.

extended XYZ file:
```
10
Lattice="6.786 0.000 0.000 0.000 6.786 0.000 0.000 0.000 4.579" Properties=species:S:1:pos:R:3 pbc="T T T"
Y 1.140 2.254 0.000
Y 2.254 5.647 0.000
Y 4.533 1.140 0.000
Y 5.647 4.533 0.000
Al 0.939 4.333 2.289
Al 2.454 0.939 2.289
Al 4.333 5.847 2.289
Al 5.847 2.454 2.289
Pd 0.000 0.000 2.289
Pd 3.393 3.393 2.289
```

Calculated values
The size of the total moment is 0.00 μB/f.u. The calculation puts the calculated formation energy at -0.590 eV/atom. Its space group is P4/mbm. The calculation puts the final energy at -6.147 eV/atom.